# Ta3InRh4 (GGA-PBE, relaxed)
# - calculated formation energy (meV per atom) = -425
# - crystal system = orthorhombic
data_Ta3InRh4
_chemical_formula_sum 'Ta6 In2 Rh8'
_symmetry_space_group_name_H-M 'P m m a'
_symmetry_Int_Tables_number 51
_symmetry_space_group_name_Hall '-P 2a 2a'
_cell_length_a 9.234
_cell_length_b 5.824
_cell_length_c 4.825
_cell_angle_alpha 90.00
_cell_angle_beta 90.00
_cell_angle_gamma 90.00
loop_
_atom_site_label
_atom_site_type_symbol
_atom_site_fract_x
_atom_site_fract_y
_atom_site_fract_z
Ta1 Ta 0.000 0.000 0.000
Ta2 Ta 0.250 0.000 0.390
Ta3 Ta 0.250 0.500 0.400
In1 In 0.000 0.500 0.000
Rh1 Rh 0.000 0.246 0.500
Rh2 Rh 0.250 0.247 0.879